No. 1
DFT (PBE-GGA) results for Li3Mg2Cd3 after structural relaxation.

```
Li3Mg2Cd3
1.0
7.140 -2.410 0.000
7.140 2.410 0.000
-1.637 0.000 4.570
Li Mg Cd
3 2 3
Cartesian
0.000 0.000 0.000
0.710 0.000 2.841
11.933 0.000 1.729
3.180 0.000 1.152
9.463 0.000 3.418
3.936 0.000 4.006
6.321 0.000 2.285
8.707 0.000 0.564
```

Values from the calculation:
- formation enthalpy at 0 K (eV per atom) = -0.18
- E_tot (eV per formula unit) = -13.13



No. 2
DFT (PBE-GGA) results for Li4MgCd2 after structural relaxation.

```
Li4MgCd2
1.0
4.971 -2.594 0.000
4.971 2.594 0.000
-3.734 0.000 6.790
Li Mg Cd
4 1 2
Cartesian
0.619 1.297 3.395
1.406 0.000 0.854
0.619 -1.297 3.395
4.802 0.000 5.937
3.104 0.000 3.395
-1.805 0.000 4.894
8.013 0.000 1.897
```

Values from the calculation:
- formation enthalpy at 0 K (eV per atom) = 0.08
- E_tot (eV per formula unit) = -10.49
- energy above the most stable polymorph in this dataset (meV per atom) = 177



No. 3
DFT (PBE-GGA) results for Li12Mg5Cd2 after structural relaxation.

```
Li12Mg5Cd2
1.0
6.834 -3.924 0.000
6.834 3.924 0.000
-0.198 0.000 7.172
Li Mg Cd
12 5 2
Cartesian
0.624 0.000 2.394
5.023 2.328 2.276
4.659 1.478 5.415
8.447 2.328 4.895
5.687 0.000 0.782
8.811 1.478 1.756
4.659 -1.478 5.415
7.782 0.000 6.390
5.023 -2.328 2.276
8.811 -1.478 1.756
8.447 -2.328 4.895
12.845 0.000 4.778
2.798 0.000 0.083
3.470 0.000 3.166
6.735 0.000 3.586
10.000 0.000 4.006
10.671 0.000 7.088
6.834 2.461 0.000
6.834 -2.461 0.000
```

Values from the calculation:
- formation enthalpy at 0 K (eV per atom) = -0.05
- E_tot (eV per formula unit) = -33.76
- energy above the most stable polymorph in this dataset (meV per atom) = 17



No. 4
DFT (PBE-GGA) results for Li3MgCd3 after structural relaxation.

```
Li3MgCd3
1.0
7.272 0.000 0.000
0.000 7.272 0.000
0.000 0.000 7.272
Li Mg Cd
6 2 6
Cartesian
0.000 1.818 3.636
0.000 5.454 3.636
1.818 3.636 0.000
3.636 0.000 1.818
3.636 0.000 5.454
5.454 3.636 0.000
0.000 0.000 0.000
3.636 3.636 3.636
0.000 3.636 1.818
0.000 3.636 5.454
1.818 0.000 3.636
3.636 1.818 0.000
3.636 5.454 0.000
5.454 0.000 3.636
```

Values from the calculation:
- formation enthalpy at 0 K (eV per atom) = 0.32
- E_tot (eV per formula unit) = -7.87
- energy above the most stable polymorph in this dataset (meV per atom) = 459



No. 5
DFT (PBE-GGA) results for Li6Mg5Cd4 after structural relaxation.

```
Li6Mg5Cd4
1.0
1.538 -12.768 0.000
1.538 12.768 0.000
0.000 0.000 15.399
Li Mg Cd
12 10 8
Cartesian
1.538 11.902 7.700
1.538 11.006 1.162
1.538 10.491 11.852
1.538 6.860 6.629
1.538 6.069 1.383
1.538 2.442 11.129
1.538 -2.442 3.430
1.538 -6.069 9.082
1.538 -6.860 14.329
1.538 -10.491 4.152
1.538 -11.006 8.862
1.538 -11.902 0.000
1.538 12.182 4.905
1.538 9.374 9.092
1.538 8.651 14.259
1.538 7.905 3.979
1.538 4.850 3.955
1.538 -4.850 11.655
1.538 -7.905 11.679
1.538 -8.651 6.560
1.538 -9.374 1.393
1.538 -12.182 12.605
1.538 4.320 9.088
1.538 3.211 13.989
1.538 1.446 6.517
1.538 0.465 2.409
1.538 -0.465 10.109
1.538 -1.446 14.217
1.538 -3.211 6.289
1.538 -4.320 1.389
```

Values from the calculation:
- formation enthalpy at 0 K (eV per atom) = -0.10
- E_tot (eV per formula unit) = -24.61



No. 6
DFT (PBE-GGA) results for Li8Mg3Cd2 after structural relaxation.

```
Li8Mg3Cd2
1.0
6.172 -4.038 0.000
6.172 4.038 0.000
-0.899 0.000 5.692
Li Mg Cd
8 3 2
Cartesian
4.589 2.540 0.252
0.736 0.000 2.038
2.889 0.000 3.943
6.857 2.540 5.440
4.589 -2.540 0.252
8.556 0.000 1.748
10.709 0.000 3.654
6.857 -2.540 5.440
5.723 1.466 2.846
6.172 0.000 0.000
5.723 -1.466 2.846
3.521 0.000 1.213
7.925 0.000 4.478
```

Values from the calculation:
- formation enthalpy at 0 K (eV per atom) = -0.02
- E_tot (eV per formula unit) = -22.19
- energy above the most stable polymorph in this dataset (meV per atom) = 58



No. 7
DFT (PBE-GGA) results for LiMg4Cd4 after structural relaxation.

```
LiMg4Cd4
1.0
-4.594 4.594 2.266
4.594 -4.594 2.266
4.594 4.594 -2.266
Li Mg Cd
1 4 4
Cartesian
0.000 0.000 0.000
3.007 0.000 0.000
6.181 0.000 0.000
0.000 3.007 0.000
0.000 6.181 0.000
3.084 3.084 0.000
1.509 -1.509 2.266
-1.509 1.509 2.266
1.509 1.509 2.266
```

Values from the calculation:
- formation enthalpy at 0 K (eV per atom) = -0.11
- E_tot (eV per formula unit) = -12.93
- energy above the most stable polymorph in this dataset (meV per atom) = 0



No. 8
DFT (PBE-GGA) results for Li3Mg6Cd2 after structural relaxation.

```
Li3Mg6Cd2
1.0
4.823 0.000 0.000
-0.111 7.465 0.000
-2.314 -3.409 6.326
Li Mg Cd
3 6 2
Cartesian
0.000 0.000 0.000
-0.035 2.782 1.104
2.433 1.274 5.222
-0.065 5.519 2.236
0.009 0.907 3.483
0.056 -1.118 5.879
2.341 5.174 0.447
2.389 3.149 2.843
2.463 -1.463 4.090
-0.020 3.677 4.553
2.418 0.379 1.773
```

Values from the calculation:
- formation enthalpy at 0 K (eV per atom) = -0.11
- E_tot (eV per formula unit) = -18.34